# 1
NpCd2F8 | PBE | relaxed

Computed properties:
* magnetization: 3.0 μB/cell
* distance to the lowest polymorph of the same formula: 14 meV/atom

Cell lengths 3.9873, 5.4574, 7.3264 Å; angles 104.73, 105.79, 90.00 degrees
Closest atoms and distances in Å follow each position.
Atoms (fractional coordinates):
1 Np 0.5000 0.0000 0.0000  8 F 2.12-2.36
2 Cd 0.8037 0.2916 0.6073  5 F 2.20-2.39
3 Cd 0.1963 0.7084 0.3927  5 F 2.20-2.39
4 F 0.4175 0.6147 0.8349  1 Np 2.12
5 F 0.6601 0.9487 0.3203  1 Np 2.35, 3 Cd 2.37-2.51, 3 F 2.54-2.56
6 F 0.7840 0.6791 0.5681  3 Cd 2.20-2.37
7 F 0.9549 0.1725 0.9098  2 Np 2.36, 1 Cd 2.39, 3 F 2.54
8 F 0.2160 0.3209 0.4319  3 Cd 2.20-2.37
9 F 0.3399 0.0513 0.6797  1 Np 2.35, 3 Cd 2.37-2.51, 3 F 2.54-2.56
10 F 0.5825 0.3853 0.1651  1 Np 2.12
11 F 0.0451 0.8275 0.0902  2 Np 2.36, 1 Cd 2.39, 3 F 2.54

***

# 2
Np2CdF8 | PBE | relaxed

Computed properties:
* magnetization: 7.9 μB/cell
* distance to the lowest polymorph of the same formula: 0 meV/atom

Cell lengths 4.1076, 7.0185, 7.3166 Å; angles 100.55, 90.00, 107.02 degrees
Closest atoms and distances in Å follow each position.
Atoms (fractional coordinates):
1 Np 0.7416 0.4832 0.7451  7 F 2.23-2.46
2 Np 0.2584 0.5168 0.2549  7 F 2.23-2.46
3 F 0.4237 0.8475 0.2452  1 Cd 2.23, 1 Np 2.23
4 F 0.7213 0.4426 0.0813  3 Np 2.42-2.53, 3 F 2.56-2.60
5 F 0.7917 0.5834 0.4383  3 Np 2.45-2.46, 3 F 2.58-2.60
6 F 0.9120 0.8240 0.8634  1 Np 2.29, 2 Cd 2.48
7 F 0.2083 0.4166 0.5617  3 Np 2.45-2.46, 3 F 2.58-2.60
8 F 0.2787 0.5574 0.9187  3 Np 2.42-2.53, 3 F 2.56-2.60
9 F 0.5763 0.1525 0.7548  1 Cd 2.23, 1 Np 2.23
10 F 0.0880 0.1760 0.1366  1 Np 2.29, 2 Cd 2.48
11 Cd 0.5000 0.0000 0.0000  6 F 2.23-2.48

***

# 3
NpCd2F8 | PBE | relaxed

Computed properties:
* magnetization: 3.0 μB/cell
* distance to the lowest polymorph of the same formula: 0 meV/atom

Cell lengths 3.9743, 6.9051, 6.5595 Å; angles 97.32, 90.00, 106.73 degrees
Closest atoms and distances in Å follow each position.
Atoms (fractional coordinates):
1 Np 0.5000 0.0000 0.0000  2 F 2.10
2 F 0.4449 0.8898 0.2851  1 Np 2.10
3 F 0.6831 0.3663 0.0550  3 Cd 2.36-2.55, 1 Np 2.40, 3 F 2.57-2.62
4 F 0.8035 0.6069 0.4210  3 Cd 2.27-2.29
5 F 0.9265 0.8529 0.8570  2 Np 2.35, 1 Cd 2.46, 3 F 2.52-2.57
6 F 0.1965 0.3931 0.5790  3 Cd 2.27-2.29
7 F 0.3169 0.6337 0.9450  3 Cd 2.36-2.55, 1 Np 2.40, 3 F 2.57-2.62
8 F 0.5551 0.1102 0.7149  1 Np 2.10
9 F 0.0735 0.1471 0.1430  2 Np 2.35, 1 Cd 2.46, 3 F 2.52-2.57
10 Cd 0.7427 0.4854 0.7323  6 F 2.27-2.47
11 Cd 0.2573 0.5146 0.2677  6 F 2.27-2.47

***

# 4
Np2CdF8 | PBE | relaxed

Computed properties:
* magnetization: 7.3 μB/cell
* distance to the lowest polymorph of the same formula: 180 meV/atom

Cell lengths 7.0954, 5.9839, 5.9839 Å; angles 47.73, 68.10, 68.10 degrees
Closest atoms and distances in Å follow each position.
Atoms (fractional coordinates):
1 Np 0.3787 0.1608 0.1608  3 F 2.13-2.31
2 Np 0.6213 0.8392 0.8392  3 F 2.13-2.31
3 Cd 0.0000 0.0000 0.0000  4 F 2.54
4 F 0.6818 0.2443 0.7585  2 Np 2.31-2.45, 2 F 2.35-2.49, 1 Cd 2.54
5 F 0.3182 0.2415 0.7557  2 Np 2.31-2.45, 2 F 2.35-2.49, 1 Cd 2.54
6 F 0.6249 0.2588 0.2588  3 Np 2.39-2.57
7 F 0.3751 0.7412 0.7412  3 Np 2.39-2.57
8 F 0.6818 0.7585 0.2443  2 Np 2.31-2.45, 2 F 2.35-2.49, 1 Cd 2.54
9 F 0.3182 0.7557 0.2415  2 Np 2.31-2.45, 2 F 2.35-2.49, 1 Cd 2.54
10 F 0.0870 0.3282 0.3282  1 Np 2.13
11 F 0.9130 0.6718 0.6718  1 Np 2.13

***

# 5
NpTl2Cd3F12 | PBE | relaxed

Computed properties:
* magnetization: 3.0 μB/cell
* raw total energy: -4.81 eV/atom

Cell lengths 8.5017, 8.5017, 8.5017 Å; angles 55.46, 55.46, 55.46 degrees
Closest atoms and distances in Å follow each position.
Atoms (fractional coordinates):
1 Np 0.0000 0.0000 0.0000  6 F 2.17
2 Tl 0.5800 0.5800 0.5800  3 F 2.83
3 Tl 0.4200 0.4200 0.4200  3 F 2.83
4 Cd 0.5000 0.0000 0.0000  6 F 2.22-2.36
5 Cd 0.0000 0.5000 0.0000  6 F 2.22-2.36
6 Cd 0.0000 0.0000 0.5000  6 F 2.22-2.36
7 F 0.3379 0.3379 0.9015  2 Cd 2.22
8 F 0.9332 0.9332 0.3137  1 Np 2.17, 1 Cd 2.36
9 F 0.3137 0.9332 0.9332  1 Np 2.17, 1 Cd 2.36
10 F 0.9015 0.3379 0.3379  2 Cd 2.22
11 F 0.9332 0.3137 0.9332  1 Np 2.17, 1 Cd 2.36
12 F 0.3379 0.9015 0.3379  2 Cd 2.22
13 F 0.6621 0.6621 0.0985  2 Cd 2.22
14 F 0.0668 0.0668 0.6863  1 Np 2.17, 1 Cd 2.36
15 F 0.6863 0.0668 0.0668  1 Np 2.17, 1 Cd 2.36
16 F 0.0985 0.6621 0.6621  2 Cd 2.22
17 F 0.0668 0.6863 0.0668  1 Np 2.17, 1 Cd 2.36
18 F 0.6621 0.0985 0.6621  2 Cd 2.22

***

# 6
NpTlCdF6 | PBE | relaxed

Computed properties:
* magnetization: 8.0 μB/cell
* raw total energy: -5.66 eV/atom

Cell lengths 6.3870, 6.3870, 10.2758 Å; angles 90.00, 90.00, 120.00 degrees
Closest atoms and distances in Å follow each position.
Atoms (fractional coordinates):
1 Np 0.3333 0.6667 0.2500  6 F 2.29
2 Np 0.6667 0.3333 0.7500  6 F 2.29
3 Tl 0.0000 0.0000 0.0000  6 F 2.82
4 Tl 0.0000 0.0000 0.5000  6 F 2.82
5 Cd 0.6667 0.3333 0.2500  6 F 2.30
6 Cd 0.3333 0.6667 0.7500  6 F 2.30
7 F 0.6193 0.6204 0.1390  1 Np 2.29, 1 Cd 2.30
8 F 0.0011 0.3807 0.1390  1 Np 2.29, 1 Cd 2.30
9 F 0.3807 0.0011 0.6390  1 Np 2.29, 1 Cd 2.30
10 F 0.9989 0.6193 0.8610  1 Np 2.29, 1 Cd 2.30
11 F 0.3796 0.3807 0.3610  1 Np 2.29, 1 Cd 2.30
12 F 0.0011 0.6204 0.3610  1 Np 2.29, 1 Cd 2.30
13 F 0.6204 0.0011 0.8610  1 Np 2.29, 1 Cd 2.30
14 F 0.6193 0.9989 0.3610  1 Np 2.29, 1 Cd 2.30
15 F 0.9989 0.3796 0.6390  1 Np 2.29, 1 Cd 2.30
16 F 0.3796 0.9989 0.1390  1 Np 2.29, 1 Cd 2.30
17 F 0.6204 0.6193 0.6390  1 Np 2.29, 1 Cd 2.30
18 F 0.3807 0.3796 0.8610  1 Np 2.29, 1 Cd 2.30